VASP calculation (GGA-PBE) on a geometry-optimized KCd3H structure.

Unit cell a=4.965 b=4.965 c=4.965 alpha=90.00 beta=90.00 gamma=90.00
Element x y z (fractional)
Cd 0.000 0.000 0.500
Cd 0.000 0.500 0.000
Cd 0.500 0.000 0.000
K 0.500 0.500 0.500
H 0.000 0.000 0.000

SG: Pm-3m
Calculated density, g/cm³: 5.12
E_tot, eV per cell: -5.8
Total magnetization, μB/f.u.: 0.0